Entry from Alexandria: crystalline PrDyV2O8 at its relaxed geometry (GGA+U).

## Properties
Symmetry ... I-4m2, No. 119
Mass density ... 5.09 g/cm3
Final energy ... -8.0418 eV/atom
M_tot ... 0.0 μB/cell
Crystal system ... tetragonal

Structure (POSCAR):
```
PrDyV2O8
1.0
-3.2916 -5.1538 0.0125
3.7933 0.8198 4.7260
-4.0339 4.5894 0.2470
O V Dy Pr
8 2 1 1
direct
0.9189 0.2333 0.3144
0.7667 0.0811 0.6856
0.3225 0.1444 0.8218
0.4993 0.6775 0.8218
0.3225 0.5007 0.1782
0.3956 0.0811 0.3144
0.8556 0.6775 0.1782
0.9189 0.6044 0.6856
0.7500 0.2500 0.5000
0.5000 0.5000 0.0000
0.0000 0.0000 0.0000
0.2500 0.7500 0.5000
```